i) CsMg14Al, relaxed, DFT PBE; Fermi-level density of states = 0.46 states/eV/atom; symmetry = No. 38
1.0
3.5062 -5.4087 0.0000
3.5062 5.4087 0.0000
0.0000 0.0000 10.6319
Al Mg Cs
1 14 1
Cartesian
3.5062 -3.8097 5.3159 Al
3.5062 1.5791 0.0000 Mg
3.5062 3.7415 8.4442 Mg
4.9974 -0.5307 5.3159 Mg
5.0056 -1.2031 0.0000 Mg
3.5062 -4.0675 0.0000 Mg
5.2726 0.8935 8.0812 Mg
1.7398 0.8935 2.5507 Mg
1.7398 0.8935 8.0812 Mg
3.5062 -1.8655 2.8004 Mg
2.0068 -1.2031 0.0000 Mg
3.5062 -1.8655 7.8315 Mg
3.5062 3.7415 2.1877 Mg
2.0150 -0.5307 5.3159 Mg
5.2726 0.8935 2.5507 Mg
3.5062 2.4399 5.3159 Cs

ii) CsMg14Al, relaxed, DFT PBE; Fermi-level density of states = 0.72 states/eV/atom; symmetry = No. 187
1.0
3.2952 -5.7075 0.0000
3.2952 5.7075 0.0000
0.0000 0.0000 10.6861
Mg Cs Al
14 1 1
Cartesian
4.8930 2.8249 5.3430 Mg
3.2952 -0.0771 0.0000 Mg
4.9048 0.9732 2.4069 Mg
1.6856 0.9732 8.2792 Mg
1.6856 0.9732 2.4069 Mg
4.9048 0.9732 8.2792 Mg
4.8761 -2.8152 0.0000 Mg
3.2952 -1.9025 2.7340 Mg
3.2952 -1.9025 7.9521 Mg
1.6975 2.8249 5.3430 Mg
3.2952 0.0576 5.3430 Mg
3.2952 3.7611 8.2792 Mg
3.2952 3.7611 2.4069 Mg
1.7144 -2.8152 0.0000 Mg
0.0000 0.0000 5.3430 Cs
0.0000 0.0000 0.0000 Al

Relative energies in meV/atom: i) 0; ii) 13

i) CsMnAl3, relaxed, DFT PBE; Fermi-level density of states = 1.39 states/eV/atom; symmetry = No. 221
1.0
5.8500 0.0000 0.0000
0.0000 5.8500 0.0000
0.0000 0.0000 5.8500
Al Mn Cs
3 1 1
Cartesian
0.0000 2.9250 0.0000 Al
0.0000 0.0000 2.9250 Al
2.9250 0.0000 0.0000 Al
2.9250 2.9250 2.9250 Mn
0.0000 0.0000 0.0000 Cs

ii) CsMnAl3, relaxed, DFT PBE; Fermi-level density of states = 0.33 states/eV/atom; symmetry = No. 221
1.0
-0.3257 0.0570 -4.8959
4.8735 -0.4676 -0.3297
-0.4704 -4.8843 -0.0255
Al Mn Cs
3 1 1
Cartesian
2.4368 -0.2338 -0.1648 Al
-0.1628 0.0285 -2.4479 Al
-0.2352 -2.4422 -0.0128 Al
0.0000 0.0000 0.0000 Mn
2.0387 -2.6475 -2.6255 Cs

Relative energies in meV/atom: i) 1807; ii) 0

i) CsMn3Al, relaxed, DFT PBE; Fermi-level density of states = 1.11 states/eV/atom; symmetry = No. 221
1.0
5.0264 0.0000 0.0000
0.0000 5.0264 0.0000
0.0000 0.0000 5.0264
Mn Al Cs
3 1 1
Cartesian
0.0000 2.5132 0.0000 Mn
0.0000 0.0000 2.5132 Mn
2.5132 0.0000 0.0000 Mn
2.5132 2.5132 2.5132 Al
0.0000 0.0000 0.0000 Cs

ii) CsMn3Al, relaxed, DFT PBE; Fermi-level density of states = 1.26 states/eV/atom; symmetry = No. 221
1.0
-0.4557 -4.9891 -1.1360
3.9110 -1.0750 3.1524
-3.2994 -0.5852 3.8937
Mn Cs Al
3 1 1
Cartesian
1.9555 -0.5375 1.5762 Mn
-1.6497 -0.2926 1.9468 Mn
-0.2278 -2.4945 -0.5680 Mn
0.0780 -3.3246 2.9551 Cs
0.0000 0.0000 0.0000 Al

Relative energies in meV/atom: i) 1280; ii) 0

i) CsAl3Mo, relaxed, DFT PBE; Fermi-level density of states = 0.72 states/eV/atom; symmetry = No. 221
1.0
-1.9786 -2.6098 3.9296
3.6443 -3.5514 -0.5236
2.9953 2.5970 3.2330
Al Cs Mo
3 1 1
Cartesian
-0.9893 -1.3049 1.9648 Al
1.4976 1.2985 1.6165 Al
1.8222 -1.7757 -0.2618 Al
2.3305 -1.7821 3.3195 Cs
0.0000 0.0000 0.0000 Mo

ii) CsAl3Mo, relaxed, DFT PBE; Fermi-level density of states = 1.09 states/eV/atom; symmetry = No. 221
1.0
-3.3913 -4.5007 -0.8869
2.8044 -2.9070 4.0285
-3.6302 1.9588 3.9407
Cs Al Mo
1 3 1
Cartesian
0.0000 0.0000 0.0000 Cs
-1.8151 0.9794 1.9703 Al
-1.6957 -2.2504 -0.4434 Al
1.4022 -1.4535 2.0142 Al
-2.1085 -2.7244 3.5411 Mo

Relative energies in meV/atom: i) 0; ii) 2094